Entry from the Alexandria database: a relaxed structure of TaBeAgC2 (GGA-PBEsol).

Structure (CIF):
```
data_TaBeAgC2
_chemical_formula_sum 'Ta1 Be1 Ag1 C2'
_space_group_name_H-M_alt 'P 4/m m m'
_space_group_IT_number 123
_space_group_name_Hall '-P 4 2'
_cell_length_a 3.734
_cell_length_b 3.734
_cell_length_c 4.213
_cell_angle_alpha 90.00
_cell_angle_beta 90.00
_cell_angle_gamma 90.00
loop_
_atom_site_label
_atom_site_fract_x
_atom_site_fract_y
_atom_site_fract_z
Ta1 0.000 0.000 0.000
Be1 0.000 0.000 0.500
Ag1 0.500 0.500 0.000
C1 0.000 0.500 0.500
```

energy: -5.89 eV per atom
energy of formation: 1.94 eV/atom

***

Entry from the Alexandria database: a relaxed structure of TaRhN2 (GGA-PBEsol).

Structure (CIF):
```
data_TaRhN2
_chemical_formula_sum 'Ta4 Rh4 N8'
_space_group_name_H-M_alt 'F m -3 m'
_space_group_IT_number 225
_space_group_name_Hall '-F 4 2 3'
_cell_length_a 5.414
_cell_length_b 5.414
_cell_length_c 5.414
_cell_angle_alpha 90.00
_cell_angle_beta 90.00
_cell_angle_gamma 90.00
loop_
_atom_site_label
_atom_site_fract_x
_atom_site_fract_y
_atom_site_fract_z
Ta1 0.000 0.000 0.000
Rh1 0.000 0.000 0.500
N1 0.250 0.250 0.250
```

energy: -9.27 eV per atom
raw formation energy: 16.00 kJ per mole of atoms

***

Entry from the Alexandria database: a relaxed structure of CePr3 (GGA-PBEsol).

Structure (CIF):
```
data_CePr3
_chemical_formula_sum 'Ce2 Pr6'
_space_group_name_H-M_alt 'I 4/m m m'
_space_group_IT_number 139
_space_group_name_Hall '-I 4 2'
_cell_length_a 5.030
_cell_length_b 5.030
_cell_length_c 10.136
_cell_angle_alpha 90.00
_cell_angle_beta 90.00
_cell_angle_gamma 90.00
loop_
_atom_site_label
_atom_site_fract_x
_atom_site_fract_y
_atom_site_fract_z
Ce1 0.000 0.000 0.000
Pr1 0.000 0.000 0.500
Pr2 0.000 0.500 0.250
```

energy: -5.42 eV per atom
energy of formation: 0.11 eV/atom

***

Entry from the Alexandria database: a relaxed structure of Mn2TlIr2 (GGA-PBEsol).

Structure (CIF):
```
data_Mn2TlIr2
_chemical_formula_sum 'Mn4 Tl2 Ir4'
_space_group_name_H-M_alt 'I 4/m m m'
_space_group_IT_number 139
_space_group_name_Hall '-I 4 2'
_cell_length_a 3.841
_cell_length_b 3.841
_cell_length_c 10.168
_cell_angle_alpha 90.00
_cell_angle_beta 90.00
_cell_angle_gamma 90.00
loop_
_atom_site_label
_atom_site_fract_x
_atom_site_fract_y
_atom_site_fract_z
Mn1 0.000 0.000 0.099
Tl1 0.000 0.000 0.500
Ir1 0.000 0.500 0.250
```

energy: -7.99 eV per atom
energy of formation: 0.37 eV/atom

***

Entry from the Alexandria database: a relaxed structure of MnPt3Rh (GGA-PBEsol).

Structure (CIF):
```
data_MnPt3Rh
_chemical_formula_sum 'Mn1 Pt3 Rh1'
_space_group_name_H-M_alt 'P m -3 m'
_space_group_IT_number 221
_space_group_name_Hall '-P 4 2 3'
_cell_length_a 4.721
_cell_length_b 4.721
_cell_length_c 4.721
_cell_angle_alpha 90.00
_cell_angle_beta 90.00
_cell_angle_gamma 90.00
loop_
_atom_site_label
_atom_site_fract_x
_atom_site_fract_y
_atom_site_fract_z
Mn1 0.000 0.000 0.000
Pt1 0.000 0.500 0.500
Rh1 0.500 0.500 0.500
```

energy: -6.24 eV per atom
energy of formation: 1.52 eV/atom

***

Entry from the Alexandria database: a relaxed structure of Na2Ta3Se6 (GGA-PBEsol).

Structure (CIF):
```
data_Na2Ta3Se6
_chemical_formula_sum 'Na12 Ta18 Se36'
_space_group_name_H-M_alt 'R 3 2'
_space_group_IT_number 155
_space_group_name_Hall 'R 3 2"'
_cell_length_a 5.9962
_cell_length_b 5.9962
_cell_length_c 45.7211
_cell_angle_alpha 90.00
_cell_angle_beta 90.00
_cell_angle_gamma 120.00
loop_
_atom_site_label
_atom_site_fract_x
_atom_site_fract_y
_atom_site_fract_z
Na1 0.0000 0.0000 0.0831
Na2 0.0000 0.0000 0.4165
Ta1 0.0000 0.0000 0.0000
Ta2 0.0000 0.0000 0.3334
Ta3 0.0000 0.3331 0.5000
Se1 0.9997 0.6679 0.2027
Se2 0.9996 0.6693 0.2972
```

energy: -6.75 eV per atom
raw formation energy: -93.45 kJ per mole of atoms

***

Entry from the Alexandria database: a relaxed structure of HRuS2 (GGA-PBEsol).

Structure (CIF):
```
data_HRuS2
_chemical_formula_sum 'H4 Ru4 S8'
_space_group_name_H-M_alt 'I -4 2 d'
_space_group_IT_number 122
_space_group_name_Hall 'I -4 2bw'
_cell_length_a 4.877
_cell_length_b 4.877
_cell_length_c 9.245
_cell_angle_alpha 90.00
_cell_angle_beta 90.00
_cell_angle_gamma 90.00
loop_
_atom_site_label
_atom_site_fract_x
_atom_site_fract_y
_atom_site_fract_z
H1 0.000 0.000 0.000
Ru1 0.000 0.000 0.500
S1 0.207 0.250 0.125
```

energy: -5.45 eV per atom

***

Entry from the Alexandria database: a relaxed structure of MgCu2O4 (GGA-PBEsol).

Structure (CIF):
```
data_MgCu2O4
_chemical_formula_sum 'Mg6 Cu12 O24'
_space_group_name_H-M_alt 'R 3 m'
_space_group_IT_number 160
_space_group_name_Hall 'R 3 -2"'
_cell_length_a 5.8647
_cell_length_b 5.8647
_cell_length_c 14.1941
_cell_angle_alpha 90.00
_cell_angle_beta 90.00
_cell_angle_gamma 120.00
loop_
_atom_site_label
_atom_site_fract_x
_atom_site_fract_y
_atom_site_fract_z
Mg1 0.0000 0.0000 0.0000
Mg2 0.0000 0.0000 0.3872
Cu1 0.0000 0.0000 0.6200
Cu2 0.1677 0.3354 0.8337
O1 0.0000 0.0000 0.2482
O2 0.0000 0.0000 0.7503
O3 0.0339 0.5169 0.7604
O4 0.1792 0.3585 0.5713
```

energy: -5.53 eV per atom
raw formation energy: -100.97 kJ per mole of atoms

***

Entry from the Alexandria database: a relaxed structure of Pr2Bi (GGA-PBEsol).

Structure (CIF):
```
data_Pr2Bi
_chemical_formula_sum 'Pr8 Bi4'
_space_group_name_H-M_alt 'I 4/m m m'
_space_group_IT_number 139
_space_group_name_Hall '-I 4 2'
_cell_length_a 4.586
_cell_length_b 4.586
_cell_length_c 18.062
_cell_angle_alpha 90.00
_cell_angle_beta 90.00
_cell_angle_gamma 90.00
loop_
_atom_site_label
_atom_site_fract_x
_atom_site_fract_y
_atom_site_fract_z
Pr1 0.000 0.000 0.180
Pr2 0.000 0.500 0.000
Bi1 0.000 0.000 0.361
```

energy: -5.61 eV per atom
energy of formation: -0.73 eV/atom

***

Entry from the Alexandria database: a relaxed structure of LaTlW2N (GGA-PBEsol).

Structure (CIF):
```
data_LaTlW2N
_chemical_formula_sum 'La1 Tl1 W2 N1'
_space_group_name_H-M_alt 'P 4/m m m'
_space_group_IT_number 123
_space_group_name_Hall '-P 4 2'
_cell_length_a 4.219
_cell_length_b 4.219
_cell_length_c 5.040
_cell_angle_alpha 90.00
_cell_angle_beta 90.00
_cell_angle_gamma 90.00
loop_
_atom_site_label
_atom_site_fract_x
_atom_site_fract_y
_atom_site_fract_z
La1 0.000 0.000 0.000
Tl1 0.500 0.500 0.000
W1 0.000 0.500 0.500
N1 0.000 0.000 0.500
```

energy: -8.62 eV per atom
raw formation energy: 19.48 kJ per mole of atoms

***

Entry from the Alexandria database: a relaxed structure of SiMoPt2 (GGA-PBEsol).

Structure (CIF):
```
data_SiMoPt2
_chemical_formula_sum 'Si2 Mo2 Pt4'
_space_group_name_H-M_alt 'C m m m'
_space_group_IT_number 65
_space_group_name_Hall '-C 2 2'
_cell_length_a 5.286
_cell_length_b 8.007
_cell_length_c 2.747
_cell_angle_alpha 90.00
_cell_angle_beta 90.00
_cell_angle_gamma 90.00
loop_
_atom_site_label
_atom_site_fract_x
_atom_site_fract_y
_atom_site_fract_z
Si1 0.000 0.000 0.000
Mo1 0.000 0.500 0.000
Pt1 0.250 0.250 0.500
```

energy: -8.10 eV per atom
raw formation energy: -23.20 kJ per mole of atoms

***

Entry from the Alexandria database: a relaxed structure of NaTi3FeO8 (GGA-PBEsol).

Structure (CIF):
```
data_NaTi3FeO8
_chemical_formula_sum 'Na2 Ti6 Fe2 O16'
_space_group_name_H-M_alt 'C 1 m 1'
_space_group_IT_number 8
_cell_length_a 12.247
_cell_length_b 3.801
_cell_length_c 6.491
_cell_angle_alpha 90.00
_cell_angle_beta 107.12
_cell_angle_gamma 90.00
loop_
_space_group_symop_operation_xyz
'x,y,z'
'x,-y,z'
'x+1/2,y+1/2,z'
'x+1/2,-y+1/2,z'
loop_
_atom_site_label
_atom_site_fract_x
_atom_site_fract_y
_atom_site_fract_z
Na1 0.000 0.000 0.000
Ti1 0.101 0.500 0.682
Ti2 0.297 0.000 0.686
Ti3 0.394 0.000 0.280
Fe1 0.196 0.500 0.264
O1 0.053 0.500 0.346
O2 0.120 0.500 0.974
O3 0.134 0.000 0.685
O4 0.238 0.000 0.339
O5 0.264 0.500 0.647
O6 0.364 0.500 0.265
O7 0.370 0.000 0.972
O8 0.439 0.000 0.613
```

energy: -8.51 eV per atom
raw formation energy: -247.02 kJ per mole of atoms